Crystalline Li5MnF8 at its relaxed geometry. Source: the Alexandria database, functional PBE+U.

Unit cell a=5.922 b=5.922 c=5.922 alpha=60.00 beta=60.00 gamma=60.00
Fractional coordinates of all 14 atoms:
F: 0.393 0.869 0.869
F: 0.869 0.393 0.869
Li: 0.000 0.000 0.000
F: 0.382 0.854 0.382
Li: 0.634 0.634 0.098
F: 0.382 0.382 0.382
Li: 0.634 0.634 0.634
F: 0.869 0.869 0.393
Li: 0.634 0.098 0.634
F: 0.854 0.382 0.382
F: 0.869 0.869 0.869
F: 0.382 0.382 0.854
Mn: 0.250 0.250 0.250
Li: 0.098 0.634 0.634

Calculated values
The total moment is 0.275 μB/atom. For the density of states at the Fermi level, the calculation gives 16.89 states/eV/cell. Its crystal system is cubic. As for the energy above the most stable polymorph in this dataset: 11.4 kJ per mole of atoms. Its symmetry is F-43m.